A plane-wave DFT calculation with PBE was carried out for a geometry-optimized Ho2ZnPd4 structure.

Cell: 4.6402 4.6402 14.1123 Å, 90.00 90.00 90.00°
Last column: nearest neighbours and their distance in Å.
Atoms (fractional coordinates):
Ho (0.0000, 0.0000, 0.1363)  1 Pd 2.67
Ho (0.0000, 0.0000, 0.8637)  1 Pd 2.67
Ho (0.5000, 0.5000, 0.3637)  1 Pd 2.67
Ho (0.5000, 0.5000, 0.6363)  1 Pd 2.67
Zn (0.0000, 0.0000, 0.5000)  6 Pd 2.32-2.47
Zn (0.5000, 0.5000, 0.0000)  6 Pd 2.32-2.47
Pd (0.0000, 0.0000, 0.3253)  1 Zn 2.47, 1 Ho 2.67
Pd (0.0000, 0.0000, 0.6747)  1 Zn 2.47, 1 Ho 2.67
Pd (0.0000, 0.5000, 0.0000)  2 Zn 2.32
Pd (0.0000, 0.5000, 0.5000)  2 Zn 2.32
Pd (0.5000, 0.0000, 0.0000)  2 Zn 2.32
Pd (0.5000, 0.0000, 0.5000)  2 Zn 2.32
Pd (0.5000, 0.5000, 0.1747)  1 Zn 2.47, 1 Ho 2.67
Pd (0.5000, 0.5000, 0.8253)  1 Zn 2.47, 1 Ho 2.67

* SG: No. 139
* V: 21.70 A^3/atom
* VASP energy: -67.40 eV per cell
* formation energy from the elements: -241 kJ/mol of formula units
* total moment: 0.00 μB per atom

=====

A plane-wave DFT calculation with PBE was carried out for a geometry-optimized LaYTl2 structure.

Cell: 3.7757 5.1580 6.5379 Å, 90.00 90.00 90.00°
Last column: nearest neighbours and their distance in Å.
Atoms (fractional coordinates):
La (0.0000, 0.0000, 0.0000)  6 Tl 3.24-3.32
Y (0.5000, 0.5000, 0.6221)  6 Tl 3.16-3.38
Tl (0.0000, 0.0000, 0.5049)  2 La 3.24-3.30, 4 Y 3.29
Tl (0.5000, 0.5000, 0.1390)  2 Y 3.16-3.38, 4 La 3.32

* SG: No. 25
* V: 31.83 A^3/atom
* VASP energy: -16.92 eV per cell
* formation energy from the elements: -77 kJ/mol of formula units
* total moment: 0.00 μB per atom

=====

A plane-wave DFT calculation with PBE was carried out for a geometry-optimized Li2PuBO4 structure.

Cell: 5.5688 5.5688 9.5117 Å, 90.00 90.00 148.39°
Last column: nearest neighbours and their distance in Å.
Atoms (fractional coordinates):
Li (0.1248, 0.8752, 0.5384)  4 O 1.86-2.06
Li (0.1248, 0.8752, 0.9616)  4 O 1.86-2.06
Li (0.8752, 0.1248, 0.0384)  4 O 1.86-2.06
Li (0.8752, 0.1248, 0.4616)  4 O 1.86-2.06
Pu (0.4387, 0.5613, 0.7500)  8 O 2.47-2.52
Pu (0.5613, 0.4387, 0.2500)  8 O 2.47-2.52
B (0.2832, 0.7168, 0.2500)  2 O 1.37
B (0.7168, 0.2832, 0.7500)  2 O 1.37
O (0.1225, 0.8775, 0.7500)  2 B 1.82, 2 Li 2.01
O (0.2150, 0.7850, 0.1283)  1 B 1.37
O (0.2150, 0.7850, 0.3717)  1 B 1.37
O (0.5000, 0.5000, 0.0000)  4 Li 2.06
O (0.5000, 0.5000, 0.5000)  4 Li 2.06
O (0.7850, 0.2150, 0.6283)  1 B 1.37
O (0.7850, 0.2150, 0.8717)  1 B 1.37
O (0.8775, 0.1225, 0.2500)  2 B 1.82, 2 Li 2.01

* SG: No. 63
* V: 9.66 A^3/atom
* VASP energy: -124.17 eV per cell
* raw formation energy: -2.177 eV/atom
* total moment: 0.63 μB per atom

=====

Question: What is the formula in the third record?
Answer: Li2PuBO4